(1)
This record from the Alexandria database describes an optimized crystal structure of TbSm6ErSc2. The functional is GGA-PBE.

Calculated values
Total magnetic moment = 0.00 μB per cell
Formation energy from the elements = 0.13 eV/atom

Cell: 8.730 8.730 9.465 Å, 93.93 93.93 117.57°
Element x y z (fractional)
Tb (0.029, 0.971, 0.750)
Tb (0.971, 0.029, 0.250)
Sm (0.012, 0.559, 0.682)
Sm (0.113, 0.761, 0.053)
Sm (0.239, 0.887, 0.447)
Sm (0.298, 0.507, 0.882)
Sm (0.441, 0.988, 0.818)
Sm (0.493, 0.702, 0.618)
Sm (0.507, 0.298, 0.382)
Sm (0.559, 0.012, 0.182)
Sm (0.702, 0.493, 0.118)
Sm (0.761, 0.113, 0.553)
Sm (0.887, 0.239, 0.947)
Sm (0.988, 0.441, 0.318)
Er (0.409, 0.591, 0.250)
Er (0.591, 0.409, 0.750)
Sc (0.199, 0.300, 0.548)
Sc (0.300, 0.199, 0.048)
Sc (0.700, 0.801, 0.952)
Sc (0.801, 0.700, 0.452)

***

(2)
This record from the Alexandria database describes an optimized crystal structure of ReSeNF2. The functional is GGA-PBE.

Calculated values
Total magnetic moment = 5.44 μB per cell
Uncorrected energy = -4.56 eV per atom

Cell: 4.713 4.713 3.646 Å, 90.00 90.00 90.00°
Element x y z (fractional)
Re (0.000, 0.000, 0.000)
Se (0.500, 0.500, 0.500)
N (0.500, 0.500, 0.000)
F (0.000, 0.500, 0.500)
F (0.500, 0.000, 0.500)

***

(3)
This record from the Alexandria database describes an optimized crystal structure of Co2TeCl. The functional is GGA-PBE.

Calculated values
Total magnetic moment = 2.85 μB per cell
Uncorrected energy = -4.72 eV per atom

Cell: 3.290 3.290 7.265 Å, 90.00 90.00 90.00°
Element x y z (fractional)
Co (0.000, 0.000, 0.000)
Co (0.500, 0.500, 0.147)
Te (0.000, 0.000, 0.336)
Cl (0.500, 0.500, 0.825)

***

(4)
This record from the Alexandria database describes an optimized crystal structure of Mn4AgSe8. The functional is GGA-PBE.

Calculated values
Total magnetic moment = 12.60 μB per cell
Uncorrected energy = -5.59 eV per atom

Cell: 7.444 7.444 7.444 Å, 60.00 60.00 60.00°
Element x y z (fractional)
Mn (0.379, 0.379, 0.379)
Mn (0.379, 0.379, 0.862)
Mn (0.379, 0.862, 0.379)
Mn (0.862, 0.379, 0.379)
Ag (0.000, 0.000, 0.000)
Se (0.140, 0.140, 0.140)
Se (0.140, 0.140, 0.581)
Se (0.140, 0.581, 0.140)
Se (0.150, 0.617, 0.617)
Se (0.581, 0.140, 0.140)
Se (0.617, 0.150, 0.617)
Se (0.617, 0.617, 0.150)
Se (0.617, 0.617, 0.617)

***

- The highest total magnetic moment belongs to which entry?
  Mn4AgSe8